1.
# PmDyYHo2 (PBE, optimized geometry)
# energy of formation from the pure elements: 37 kJ/mol of atoms
# DOS(E_F): 7.22 states/eV/f.u.
data_PmDyYHo2
_chemical_formula_sum 'Pm4 Dy4 Y4 Ho8'
_cell_length_a 8.363
_cell_length_b 11.483
_cell_length_c 7.190
_cell_angle_alpha 90.00
_cell_angle_beta 90.00
_cell_angle_gamma 90.00
_symmetry_space_group_name_H-M 'C m c m'
_symmetry_Int_Tables_number 63
_symmetry_space_group_name_Hall '-C 2c 2'
loop_
_atom_site_label
_atom_site_type_symbol
_atom_site_fract_x
_atom_site_fract_y
_atom_site_fract_z
Pm1 Pm 0.000 0.220 0.250
Dy1 Dy 0.000 0.488 0.250
Y1 Y 0.000 0.230 0.750
Ho1 Ho 0.190 0.000 0.000


2.
# CaPaNi10 (PBE, optimized geometry)
# energy of formation from the pure elements: -25 kJ/mol of atoms
# DOS(E_F): 13.07 states/eV/f.u.
data_CaPaNi10
_chemical_formula_sum 'Ca1 Pa1 Ni10'
_cell_length_a 3.986
_cell_length_b 4.894
_cell_length_c 8.394
_cell_angle_alpha 90.00
_cell_angle_beta 90.00
_cell_angle_gamma 90.00
_symmetry_space_group_name_H-M 'P m m m'
_symmetry_Int_Tables_number 47
_symmetry_space_group_name_Hall '-P 2 2'
loop_
_atom_site_label
_atom_site_type_symbol
_atom_site_fract_x
_atom_site_fract_y
_atom_site_fract_z
Ca1 Ca 0.000 0.000 0.000
Pa1 Pa 0.000 0.500 0.500
Ni1 Ni 0.000 0.000 0.339
Ni2 Ni 0.000 0.500 0.178
Ni3 Ni 0.500 0.000 0.500
Ni4 Ni 0.500 0.254 0.256
Ni5 Ni 0.500 0.500 0.000


3.
# La8Cu3SiI4 (PBE, optimized geometry)
# DOS(E_F): 18.06 states/eV/f.u.
# energy relative to the elements, uncorrected: -0.6589 eV per atom
data_La8Cu3SiI4
_chemical_formula_sum 'La24 Cu9 Si3 I12'
_cell_length_a 8.7098
_cell_length_b 8.7098
_cell_length_c 23.5817
_cell_angle_alpha 90.00
_cell_angle_beta 90.00
_cell_angle_gamma 120.00
_symmetry_space_group_name_H-M 'R -3 m'
_symmetry_Int_Tables_number 166
_symmetry_space_group_name_Hall '-R 3 2"'
loop_
_atom_site_label
_atom_site_type_symbol
_atom_site_fract_x
_atom_site_fract_y
_atom_site_fract_z
La1 La 0.0000 0.0000 0.2336
La2 La 0.0008 0.5004 0.2355
Cu1 Cu 0.0000 0.5000 0.5000
Si1 Si 0.0000 0.0000 0.5000
I1 I 0.0000 0.0000 0.0000
I2 I 0.0000 0.5000 0.0000


4.
# SrMgZr2 (PBE, optimized geometry)
# energy of formation from the pure elements: 63 kJ/mol of atoms
# DOS(E_F): 7.47 states/eV/f.u.
data_SrMgZr2
_chemical_formula_sum 'Sr4 Mg4 Zr8'
_cell_length_a 4.380
_cell_length_b 4.380
_cell_length_c 23.339
_cell_angle_alpha 90.00
_cell_angle_beta 90.00
_cell_angle_gamma 90.00
_symmetry_space_group_name_H-M 'I -4 2 d'
_symmetry_Int_Tables_number 122
_symmetry_space_group_name_Hall 'I -4 2bw'
loop_
_atom_site_label
_atom_site_type_symbol
_atom_site_fract_x
_atom_site_fract_y
_atom_site_fract_z
Sr1 Sr 0.000 0.000 0.000
Mg1 Mg 0.000 0.000 0.500
Zr1 Zr 0.230 0.750 0.625


5.
# NdB5Rh7 (PBE, optimized geometry)
# energy of formation from the pure elements: -16 kJ/mol of atoms
# DOS(E_F): 9.17 states/eV/f.u.
data_NdB5Rh7
_chemical_formula_sum 'Nd2 B10 Rh14'
_cell_length_a 4.980
_cell_length_b 8.381
_cell_length_c 7.754
_cell_angle_alpha 90.00
_cell_angle_beta 90.00
_cell_angle_gamma 90.00
_symmetry_space_group_name_H-M 'I m m 2'
_symmetry_Int_Tables_number 44
_symmetry_space_group_name_Hall 'I 2 -2'
loop_
_atom_site_label
_atom_site_type_symbol
_atom_site_fract_x
_atom_site_fract_y
_atom_site_fract_z
Nd1 Nd 0.000 0.000 0.000
B1 B 0.000 0.500 0.297
B2 B 0.182 0.263 0.737
Rh1 Rh 0.000 0.000 0.336
Rh2 Rh 0.000 0.000 0.665
Rh3 Rh 0.000 0.293 0.449
Rh4 Rh 0.000 0.337 0.090
Rh5 Rh 0.000 0.500 0.763


6.
# ZrVNi (PBE, optimized geometry)
# energy of formation from the pure elements: -6 kJ/mol of atoms
# DOS(E_F): 3.50 states/eV/f.u.
# energy above the most stable polymorph in this dataset: 0.178 eV per atom
data_ZrVNi
_chemical_formula_sum 'Zr4 V4 Ni4'
_cell_length_a 3.333
_cell_length_b 6.729
_cell_length_c 8.569
_cell_angle_alpha 90.00
_cell_angle_beta 90.00
_cell_angle_gamma 90.00
_symmetry_space_group_name_H-M 'I m m 2'
_symmetry_Int_Tables_number 44
_symmetry_space_group_name_Hall 'I 2 -2'
loop_
_atom_site_label
_atom_site_type_symbol
_atom_site_fract_x
_atom_site_fract_y
_atom_site_fract_z
Zr1 Zr 0.000 0.000 0.000
Zr2 Zr 0.000 0.500 0.157
V1 V 0.000 0.339 0.755
Ni1 Ni 0.000 0.193 0.455


7.
# SmHoIr4 (PBE, optimized geometry)
# energy of formation from the pure elements: -75 kJ/mol of atoms
# DOS(E_F): 4.80 states/eV/f.u.
data_SmHoIr4
_chemical_formula_sum 'Sm4 Ho4 Ir16'
_cell_length_a 7.609
_cell_length_b 7.609
_cell_length_c 7.609
_cell_angle_alpha 90.00
_cell_angle_beta 90.00
_cell_angle_gamma 90.00
_symmetry_space_group_name_H-M 'F -4 3 m'
_symmetry_Int_Tables_number 216
_symmetry_space_group_name_Hall 'F -4 2 3'
loop_
_atom_site_label
_atom_site_type_symbol
_atom_site_fract_x
_atom_site_fract_y
_atom_site_fract_z
Sm1 Sm 0.000 0.000 0.000
Ho1 Ho 0.250 0.250 0.250
Ir1 Ir 0.125 0.125 0.625


8.
# ZnSiMo (PBE, optimized geometry)
# DOS(E_F): 2.50 states/eV/f.u.
# energy above the most stable polymorph in this dataset: 0.209 eV per atom
# energy relative to the elements, uncorrected: 0.2198 eV per atom
data_ZnSiMo
_chemical_formula_sum 'Zn4 Si4 Mo4'
_cell_length_a 3.275
_cell_length_b 4.427
_cell_length_c 12.590
_cell_angle_alpha 90.00
_cell_angle_beta 90.00
_cell_angle_gamma 90.00
_symmetry_space_group_name_H-M 'F m m 2'
_symmetry_Int_Tables_number 42
_symmetry_space_group_name_Hall 'F 2 -2'
loop_
_atom_site_label
_atom_site_type_symbol
_atom_site_fract_x
_atom_site_fract_y
_atom_site_fract_z
Zn1 Zn 0.000 0.000 0.000
Si1 Si 0.000 0.000 0.676
Mo1 Mo 0.000 0.000 0.328


9.
# Ti2SiWSe (PBE, optimized geometry)
# DOS(E_F): 7.07 states/eV/f.u.
# energy relative to the elements, uncorrected: 0.6845 eV per atom
data_Ti2SiWSe
_chemical_formula_sum 'Ti2 Si1 W1 Se1'
_cell_length_a 4.688
_cell_length_b 4.688
_cell_length_c 4.495
_cell_angle_alpha 90.00
_cell_angle_beta 90.00
_cell_angle_gamma 90.00
_symmetry_space_group_name_H-M 'P 4/m m m'
_symmetry_Int_Tables_number 123
_symmetry_space_group_name_Hall '-P 4 2'
loop_
_atom_site_label
_atom_site_type_symbol
_atom_site_fract_x
_atom_site_fract_y
_atom_site_fract_z
Ti1 Ti 0.000 0.500 0.000
Si1 Si 0.000 0.000 0.000
W1 W 0.000 0.000 0.500
Se1 Se 0.500 0.500 0.500


10.
# SiAs2Cl (PBE, optimized geometry)
# DOS(E_F): 1.79 states/eV/f.u.
# energy above the most stable polymorph in this dataset: 0.595 eV per atom
# energy relative to the elements, uncorrected: 0.5417 eV per atom
data_SiAs2Cl
_chemical_formula_sum 'Si2 As4 Cl2'
_cell_length_a 6.753
_cell_length_b 7.393
_cell_length_c 3.009
_cell_angle_alpha 90.00
_cell_angle_beta 90.00
_cell_angle_gamma 90.00
_symmetry_space_group_name_H-M 'C m m m'
_symmetry_Int_Tables_number 65
_symmetry_space_group_name_Hall '-C 2 2'
loop_
_atom_site_label
_atom_site_type_symbol
_atom_site_fract_x
_atom_site_fract_y
_atom_site_fract_z
Si1 Si 0.000 0.000 0.000
As1 As 0.250 0.250 0.500
Cl1 Cl 0.000 0.500 0.000


11.
# Y2ZrIr (PBE, optimized geometry)
# energy of formation from the pure elements: -8 kJ/mol of atoms
# DOS(E_F): 5.65 states/eV/f.u.
# energy above the most stable polymorph in this dataset: 0.352 eV per atom
data_Y2ZrIr
_chemical_formula_sum 'Y6 Zr3 Ir3'
_cell_length_a 3.5934
_cell_length_b 3.5934
_cell_length_c 27.7838
_cell_angle_alpha 90.00
_cell_angle_beta 90.00
_cell_angle_gamma 120.00
_symmetry_space_group_name_H-M 'R -3 m'
_symmetry_Int_Tables_number 166
_symmetry_space_group_name_Hall '-R 3 2"'
loop_
_atom_site_label
_atom_site_type_symbol
_atom_site_fract_x
_atom_site_fract_y
_atom_site_fract_z
Y1 Y 0.0000 0.0000 0.2332
Zr1 Zr 0.0000 0.0000 0.0000
Ir1 Ir 0.0000 0.0000 0.5000


12.
# RbHgI4 (PBE, optimized geometry)
# DOS(E_F): 2.07 states/eV/f.u.
# energy relative to the elements, uncorrected: -0.5413 eV per atom
data_RbHgI4
_chemical_formula_sum 'Rb2 Hg2 I8'
_cell_length_a 7.263
_cell_length_b 9.359
_cell_length_c 10.102
_cell_angle_alpha 62.44
_cell_angle_beta 83.77
_cell_angle_gamma 89.94
_symmetry_space_group_name_H-M 'P -1'
_symmetry_Int_Tables_number 2
_symmetry_space_group_name_Hall '-P 1'
loop_
_atom_site_label
_atom_site_type_symbol
_atom_site_fract_x
_atom_site_fract_y
_atom_site_fract_z
Rb1 Rb 0.250 0.199 0.000
Hg1 Hg 0.000 0.500 0.500
Hg2 Hg 0.500 0.000 0.500
I1 I 0.191 0.736 0.179
I2 I 0.224 0.199 0.386
I3 I 0.275 0.585 0.615
I4 I 0.310 0.915 0.820